# PBE Ac12Bi3Ir5, relaxed
# * SG: Ia-3d, No. 230
# * total DFT energy (no corrections): -5.737 eV per atom
# * volume: 40.5 Å³ per atom
# * energy of formation: -0.47 eV/atom
data_Ac12Bi3Ir5
_chemical_formula_sum 'Ac48 Bi12 Ir20'
_cell_length_a 16.148
_cell_length_b 16.148
_cell_length_c 16.148
_cell_angle_alpha 109.47
_cell_angle_beta 109.47
_cell_angle_gamma 109.47
_space_group_name_H-M_alt 'P 1'
_space_group_IT_number 1
loop_
_space_group_symop_operation_xyz
'x,y,z'
loop_
_atom_site_label
_atom_site_fract_x
_atom_site_fract_y
_atom_site_fract_z
Bi1 0.750 0.375 0.125
Bi2 0.875 0.750 0.125
Bi3 0.375 0.750 0.625
Bi4 0.250 0.125 0.375
Bi5 0.875 0.125 0.250
Bi6 0.375 0.625 0.250
Bi7 0.625 0.375 0.750
Bi8 0.125 0.875 0.750
Bi9 0.750 0.875 0.625
Bi10 0.625 0.250 0.375
Bi11 0.125 0.250 0.875
Bi12 0.250 0.625 0.875
Ir1 0.125 0.375 0.250
Ir2 0.000 0.500 0.000
Ir3 0.000 0.000 0.000
Ir4 0.375 0.250 0.125
Ir5 0.500 0.000 0.500
Ir6 0.500 0.500 0.000
Ir7 0.125 0.750 0.375
Ir8 0.750 0.125 0.875
Ir9 0.750 0.625 0.375
Ir10 0.375 0.125 0.750
Ir11 0.625 0.875 0.250
Ir12 0.500 0.500 0.500
Ir13 0.500 0.000 0.000
Ir14 0.000 0.000 0.500
Ir15 0.250 0.375 0.625
Ir16 0.250 0.875 0.125
Ir17 0.000 0.500 0.500
Ir18 0.875 0.250 0.625
Ir19 0.625 0.750 0.875
Ir20 0.875 0.625 0.750
Ac1 0.702 0.118 0.025
Ac2 0.323 0.525 0.407
Ac3 0.975 0.382 0.298
Ac4 0.525 0.202 0.118
Ac5 0.584 0.702 0.677
Ac6 0.975 0.593 0.177
Ac7 0.323 0.798 0.416
Ac8 0.093 0.916 0.118
Ac9 0.593 0.975 0.677
Ac10 0.702 0.584 0.177
Ac11 0.798 0.475 0.382
Ac12 0.823 0.907 0.025
Ac13 0.118 0.702 0.525
Ac14 0.382 0.407 0.084
Ac15 0.084 0.907 0.382
Ac16 0.416 0.118 0.593
Ac17 0.084 0.177 0.202
Ac18 0.475 0.677 0.093
Ac19 0.823 0.916 0.298
Ac20 0.118 0.416 0.093
Ac21 0.382 0.975 0.798
Ac22 0.593 0.618 0.416
Ac23 0.907 0.823 0.525
Ac24 0.798 0.323 0.916
Ac25 0.407 0.382 0.584
Ac26 0.093 0.177 0.475
Ac27 0.202 0.677 0.084
Ac28 0.177 0.084 0.702
Ac29 0.618 0.025 0.202
Ac30 0.882 0.584 0.907
Ac31 0.525 0.323 0.907
Ac32 0.584 0.882 0.407
Ac33 0.916 0.823 0.798
Ac34 0.916 0.093 0.618
Ac35 0.882 0.298 0.475
Ac36 0.177 0.093 0.975
Ac37 0.618 0.593 0.916
Ac38 0.407 0.025 0.323
Ac39 0.298 0.416 0.823
Ac40 0.202 0.525 0.618
Ac41 0.907 0.084 0.882
Ac42 0.677 0.202 0.584
Ac43 0.475 0.798 0.882
Ac44 0.025 0.407 0.823
Ac45 0.416 0.298 0.323
Ac46 0.025 0.618 0.702
Ac47 0.677 0.475 0.593
Ac48 0.298 0.882 0.975